Record 1
This record from Alexandria describes a geometry-optimized La3SmAg3 structure. The functional is PBE-GGA.

```
La3SmAg3
1.0
5.4423 -5.3020 0.0000
5.4423 5.3020 0.0000
-0.4746 0.0000 7.2167
La Sm Ag
6 2 6
Cartesian
5.4423 3.3240 0.0000
5.2050 2.1339 3.6083
3.2632 0.0000 6.8863
7.1468 0.0000 0.3304
5.2050 -2.1339 3.6083
5.4423 -3.3240 0.0000
2.2480 0.0000 2.9306
8.1621 0.0000 4.2861
2.2628 2.4266 5.2753
0.3026 0.0000 5.0142
2.2628 -2.4266 5.2753
8.1472 2.4266 1.9414
10.1075 0.0000 2.2024
8.1472 -2.4266 1.9414
```

Computed properties:
- Symmetry: No. 12
- Final energy: -4.1357 eV/atom
- ΔE_f: -128 meV/atom



Record 2
This record from Alexandria describes a geometry-optimized TaTlI5 structure. The functional is PBE-GGA.

```
TaTlI5
1.0
8.3759 -4.1788 0.0000
8.3759 4.1788 0.0000
-3.8435 0.0000 10.0540
Ta Tl I
2 2 10
Cartesian
0.0000 0.0000 0.0000
-1.9217 0.0000 5.0270
5.4933 0.5174 7.5405
7.4150 -0.5174 2.5135
2.8804 2.3146 8.8163
4.4110 2.3024 4.8512
7.4150 3.1866 2.5135
10.4190 2.3024 0.1757
8.1061 2.3146 6.2646
4.8021 -2.3146 3.7893
2.4892 -2.3024 9.8782
5.4933 -3.1866 7.5405
8.4973 -2.3024 5.2027
10.0279 -2.3146 1.2377
```

Computed properties:
- Symmetry: No. 15
- ΔE_f (raw): -403 meV/atom
- Final energy: -3.5411 eV/atom



Question: Look up the final energy of the second one.
Answer: -3.5411 eV/atom



Question: What is the final energy in the second record?
Answer: -3.5411 eV/atom



Question: Among the records above, which one has the lowest final energy?
Answer: La3SmAg3